(1)
PBE TlGeAsSe2, optimized geometry; DOS at the Fermi energy = 4.872 states/eV/f.u.; symmetry = No. 123; relative energy among the computed polymorphs = 0.00 kJ per mole of atoms; formation energy (no corrections) = 0.24 eV/atom; magnetic moment = 0.55 Bohr magnetons per cell; uncorrected energy = -3.476 eV/atom
1.0
5.152 0.000 0.000
0.000 5.152 0.000
0.000 0.000 5.010
Tl Ge As Se
1 1 1 2
direct
0.000 0.000 0.000 Tl
0.500 0.500 0.500 Ge
0.500 0.500 0.000 As
0.000 0.500 0.500 Se
0.500 0.000 0.500 Se

=====

(2)
PBE Tm4Ge2AsSe, optimized geometry; DOS at the Fermi energy = 3.431 states/eV/f.u.; symmetry = No. 10; formation energy (no corrections) = -1.21 eV/atom; magnetic moment = 0.00 Bohr magnetons per cell; uncorrected energy = -5.619 eV/atom
1.0
6.942 0.000 0.000
0.000 4.019 0.000
-2.327 0.000 6.855
Tm Ge As Se
4 2 1 1
direct
0.243 0.000 0.245 Tm
0.245 0.500 0.748 Tm
0.755 0.500 0.252 Tm
0.757 0.000 0.755 Tm
0.000 0.500 0.000 Ge
0.500 0.000 0.000 Ge
0.000 0.000 0.500 As
0.500 0.500 0.500 Se

=====

(3)
PBE Tm8Ge3AsSe4, optimized geometry; DOS at the Fermi energy = 3.229 states/eV/f.u.; symmetry = No. 166; formation energy (no corrections) = -1.44 eV/atom; magnetic moment = 0.00 Bohr magnetons per cell; uncorrected energy = -5.703 eV/atom
1.0
4.072 2.351 6.664
-4.072 2.351 6.664
0.000 -4.702 6.664
Tm Ge As Se
8 3 1 4
direct
0.242 0.746 0.746 Tm
0.245 0.245 0.245 Tm
0.254 0.254 0.758 Tm
0.254 0.758 0.254 Tm
0.746 0.242 0.746 Tm
0.746 0.746 0.242 Tm
0.755 0.755 0.755 Tm
0.758 0.254 0.254 Tm
0.000 0.000 0.500 Ge
0.000 0.500 0.000 Ge
0.500 0.000 0.000 Ge
0.500 0.500 0.500 As
0.000 0.000 0.000 Se
0.000 0.500 0.500 Se
0.500 0.000 0.500 Se
0.500 0.500 0.000 Se

=====

(4)
PBE Tm6GeAs2Se3, optimized geometry; DOS at the Fermi energy = 3.383 states/eV/f.u.; symmetry = No. 12; formation energy (no corrections) = -1.56 eV/atom; magnetic moment = 0.00 Bohr magnetons per cell; uncorrected energy = -5.831 eV/atom
1.0
8.853 -2.030 0.000
8.853 2.030 0.000
-1.872 0.000 7.896
Tm Ge As Se
6 1 2 3
direct
0.002 0.002 0.240 Tm
0.331 0.331 0.424 Tm
0.338 0.338 0.912 Tm
0.662 0.662 0.088 Tm
0.669 0.669 0.576 Tm
0.998 0.998 0.760 Tm
0.500 0.500 0.000 Ge
0.167 0.167 0.334 As
0.833 0.833 0.666 As
0.168 0.168 0.833 Se
0.500 0.500 0.500 Se
0.832 0.832 0.167 Se

=====

(5)
PBE VGeAsSe2, optimized geometry; DOS at the Fermi energy = 4.884 states/eV/f.u.; symmetry = No. 123; relative energy among the computed polymorphs = 0.00 kJ per mole of atoms; formation energy (no corrections) = 0.22 eV/atom; magnetic moment = 0.00 Bohr magnetons per cell; uncorrected energy = -4.847 eV/atom
1.0
4.814 0.000 0.000
0.000 4.814 0.000
0.000 0.000 4.807
V Ge As Se
1 1 1 2
direct
0.000 0.000 0.000 V
0.500 0.500 0.500 Ge
0.000 0.000 0.500 As
0.000 0.500 0.000 Se
0.500 0.000 0.000 Se

=====

(6)
PBE VGeAsSe2, optimized geometry; DOS at the Fermi energy = 6.851 states/eV/f.u.; symmetry = No. 123; relative energy among the computed polymorphs = 68.39 kJ per mole of atoms; formation energy (no corrections) = 0.93 eV/atom; magnetic moment = 0.01 Bohr magnetons per cell; uncorrected energy = -4.138 eV/atom
1.0
4.921 0.000 0.000
0.000 4.921 0.000
0.000 0.000 4.844
V Ge As Se
1 1 1 2
direct
0.000 0.000 0.000 V
0.500 0.500 0.500 Ge
0.500 0.500 0.000 As
0.000 0.500 0.500 Se
0.500 0.000 0.500 Se

=====

(7)
PBE VGeAs2Se, optimized geometry; DOS at the Fermi energy = 5.442 states/eV/f.u.; symmetry = No. 123; relative energy among the computed polymorphs = 71.53 kJ per mole of atoms; formation energy (no corrections) = 1.05 eV/atom; magnetic moment = 0.11 Bohr magnetons per cell; uncorrected energy = -4.249 eV/atom
1.0
4.842 0.000 0.000
0.000 4.842 0.000
0.000 0.000 4.920
V Ge As Se
1 1 2 1
direct
0.000 0.000 0.000 V
0.500 0.500 0.500 Ge
0.000 0.500 0.500 As
0.500 0.000 0.500 As
0.500 0.500 0.000 Se

=====

(8)
PBE VGeAs2Se, optimized geometry; DOS at the Fermi energy = 4.103 states/eV/f.u.; symmetry = No. 123; relative energy among the computed polymorphs = 0.00 kJ per mole of atoms; formation energy (no corrections) = 0.31 eV/atom; magnetic moment = 0.08 Bohr magnetons per cell; uncorrected energy = -4.990 eV/atom
1.0
4.825 0.000 0.000
0.000 4.825 0.000
0.000 0.000 4.709
V Ge As Se
1 1 2 1
direct
0.000 0.000 0.000 V
0.500 0.500 0.500 Ge
0.000 0.500 0.000 As
0.500 0.000 0.000 As
0.000 0.000 0.500 Se

=====

(9)
PBE GeAsWSe2, optimized geometry; DOS at the Fermi energy = 2.515 states/eV/f.u.; symmetry = No. 123; relative energy among the computed polymorphs = 73.81 kJ per mole of atoms; formation energy (no corrections) = 1.31 eV/atom; magnetic moment = 2.41 Bohr magnetons per cell; uncorrected energy = -4.523 eV/atom
1.0
4.855 0.000 0.000
0.000 4.855 0.000
0.000 0.000 4.827
Ge As W Se
1 1 1 2
direct
0.000 0.000 0.000 Ge
0.000 0.000 0.500 As
0.500 0.500 0.500 W
0.000 0.500 0.000 Se
0.500 0.000 0.000 Se

=====

(10)
PBE GeAsWSe2, optimized geometry; DOS at the Fermi energy = 5.039 states/eV/f.u.; symmetry = No. 123; relative energy among the computed polymorphs = 0.00 kJ per mole of atoms; formation energy (no corrections) = 0.55 eV/atom; magnetic moment = 0.00 Bohr magnetons per cell; uncorrected energy = -5.288 eV/atom
1.0
4.884 0.000 0.000
0.000 4.884 0.000
0.000 0.000 5.060
Ge As W Se
1 1 1 2
direct
0.000 0.000 0.000 Ge
0.500 0.500 0.000 As
0.500 0.500 0.500 W
0.000 0.500 0.500 Se
0.500 0.000 0.500 Se

=====

(11)
PBE Y6GeAs2Se3, optimized geometry; DOS at the Fermi energy = 3.709 states/eV/f.u.; symmetry = No. 12; formation energy (no corrections) = -1.63 eV/atom; magnetic moment = 0.00 Bohr magnetons per cell; uncorrected energy = -6.897 eV/atom
1.0
8.998 -2.061 0.000
8.998 2.061 0.000
-1.919 0.000 8.025
Y Ge As Se
6 1 2 3
direct
0.002 0.002 0.241 Y
0.331 0.331 0.424 Y
0.338 0.338 0.912 Y
0.662 0.662 0.088 Y
0.669 0.669 0.576 Y
0.998 0.998 0.759 Y
0.500 0.500 0.000 Ge
0.167 0.167 0.334 As
0.833 0.833 0.666 As
0.168 0.168 0.833 Se
0.500 0.500 0.500 Se
0.832 0.832 0.167 Se

=====

(12)
PBE Y6Ge2As3Se, optimized geometry; DOS at the Fermi energy = 3.724 states/eV/f.u.; symmetry = No. 12; formation energy (no corrections) = -1.36 eV/atom; magnetic moment = 0.00 Bohr magnetons per cell; uncorrected energy = -6.818 eV/atom
1.0
9.035 -2.040 0.000
9.035 2.040 0.000
-1.935 0.000 8.125
Y Ge As Se
6 2 3 1
direct
0.001 0.001 0.257 Y
0.332 0.332 0.918 Y
0.334 0.334 0.413 Y
0.666 0.666 0.587 Y
0.668 0.668 0.082 Y
0.999 0.999 0.743 Y
0.166 0.166 0.332 Ge
0.834 0.834 0.668 Ge
0.164 0.164 0.834 As
0.500 0.500 0.500 As
0.836 0.836 0.166 As
0.500 0.500 0.000 Se

=====

The highest DOS at the Fermi energy belongs to which entry? number 6

=====

Look up the uncorrected energy of the tenth one. -5.288 eV/atom

=====

Which value of DOS at the Fermi energy does entry 11 give? 3.709 states/eV/f.u.